No. 1
Entry from the Alexandria database: a PBEsol-optimized structure of Ru2W (SCAN).

Geometry as POSCAR:
```
Ru2W
1.0
-0.914 -3.979 1.361
3.699 1.872 1.154
-2.381 2.031 4.337
Ru W
4 2
Direct
0.000 0.000 0.500
0.667 0.333 0.750
0.000 0.000 0.000
0.333 0.667 0.250
0.667 0.333 0.250
0.333 0.667 0.750
```

**E**: -278.5 eV for the cell shown
**SG**: P6_3/mmc, No. 194


No. 2
Entry from the Alexandria database: a PBEsol-optimized structure of PPbSeBr2 (SCAN).

Geometry as POSCAR:
```
PPbSeBr2
1.0
-2.337 -2.998 3.296
4.211 -0.272 2.739
-1.435 3.980 2.602
Se Pb P Br
1 1 1 2
Direct
0.000 0.000 0.500
0.500 0.500 0.500
0.000 0.000 0.000
0.500 0.000 0.000
0.000 0.500 0.000
```

**SG**: P4/mmm, No. 123
**Uncorrected formation energy**: -0.009 eV per atom


No. 3
Entry from the Alexandria database: a PBEsol-optimized structure of MnHgN2O (SCAN).

Geometry as POSCAR:
```
MnHgN2O
1.0
3.542 0.000 0.000
0.000 3.542 0.000
0.000 0.000 4.336
Hg O Mn N
1 1 1 2
Direct
0.500 0.500 0.500
0.000 0.000 0.500
0.000 0.000 0.000
0.500 0.000 0.000
0.000 0.500 0.000
```

**SG**: P4/mmm, No. 123
**Uncorrected formation energy**: 0.489 eV per atom


No. 4
Entry from the Alexandria database: a PBEsol-optimized structure of SrBeAl2Ge (SCAN).

Geometry as POSCAR:
```
SrBeAl2Ge
1.0
5.072 0.000 0.000
0.000 5.585 0.000
0.000 0.000 5.585
Al Ge Sr Be
2 1 1 1
Direct
0.000 0.500 0.000
0.000 0.000 0.500
0.500 0.500 0.500
0.000 0.000 0.000
0.500 0.000 0.000
```

**E**: -51.6 eV for the cell shown
**SG**: P4/mmm, No. 123


No. 5
Entry from the Alexandria database: a PBEsol-optimized structure of NaCaMo3 (SCAN).

Geometry as POSCAR:
```
NaCaMo3
1.0
4.676 0.000 0.000
0.000 4.676 0.000
0.000 0.000 4.676
Na Mo Ca
1 3 1
Direct
0.000 0.000 0.000
0.000 0.000 0.500
0.500 0.000 0.000
0.000 0.500 0.000
0.500 0.500 0.500
```

**E**: -106.0 eV for the cell shown
**SG**: Pm-3m, No. 221


No. 6
Entry from the Alexandria database: a PBEsol-optimized structure of Ba3B6H2O13 (SCAN).

Geometry as POSCAR:
```
Ba3B6H2O13
1.0
-6.435 1.394 -2.287
-2.546 -1.212 6.427
1.435 10.865 2.617
B O Ba H
12 26 6 4
Direct
0.294 0.507 0.233
0.445 0.741 0.868
0.620 0.646 0.675
0.131 0.182 0.676
0.445 0.259 0.368
0.954 0.493 0.633
0.294 0.493 0.733
0.954 0.507 0.133
0.620 0.354 0.175
0.814 0.743 0.492
0.814 0.257 0.992
0.131 0.818 0.176
0.548 0.735 0.984
0.857 0.864 0.403
0.548 0.265 0.484
0.661 0.227 0.070
0.857 0.136 0.903
0.988 0.716 0.116
0.781 0.480 0.204
0.450 0.530 0.646
0.270 0.282 0.741
0.118 0.582 0.690
0.343 0.441 0.352
0.118 0.418 0.190
0.311 0.907 0.870
0.928 0.421 0.012
0.136 0.009 0.172
0.343 0.559 0.852
0.928 0.579 0.512
0.585 0.222 0.273
0.136 0.991 0.672
0.270 0.718 0.241
0.661 0.773 0.570
0.585 0.778 0.773
0.311 0.093 0.370
0.781 0.520 0.704
0.450 0.470 0.146
0.988 0.284 0.616
0.940 0.249 0.376
0.642 0.142 0.703
0.263 0.232 0.992
0.940 0.751 0.876
0.642 0.858 0.203
0.263 0.768 0.492
0.503 0.622 0.030
0.258 0.935 0.786
0.258 0.065 0.286
0.503 0.378 0.530
```

**E**: -632.8 eV for the cell shown
**SG**: Pc, No. 7


No. 7
Entry from the Alexandria database: a PBEsol-optimized structure of Ca2InSi (SCAN).

Geometry as POSCAR:
```
Ca2InSi
1.0
-0.649 -3.508 0.837
1.121 -1.369 -4.870
4.974 -0.607 1.315
Ca In Si
2 1 1
Direct
0.000 0.500 0.000
0.000 0.000 0.500
0.500 0.500 0.500
0.500 0.000 0.000
```

**SG**: P4/mmm, No. 123
**Uncorrected formation energy**: -0.389 eV per atom


No. 8
Entry from the Alexandria database: a PBEsol-optimized structure of CdTcAs2 (SCAN).

Geometry as POSCAR:
```
CdTcAs2
1.0
-2.396 0.748 -2.144
-2.473 -3.407 1.576
-1.855 2.750 3.034
As Cd Tc
2 1 1
Direct
0.000 0.000 0.500
0.000 0.500 0.000
0.500 0.500 0.500
0.500 0.000 0.000
```

**E**: -104.1 eV for the cell shown
**SG**: P4/mmm, No. 123


No. 9
Entry from the Alexandria database: a PBEsol-optimized structure of Mg2TaSb (SCAN).

Geometry as POSCAR:
```
Mg2TaSb
1.0
-0.874 2.532 -1.337
-1.672 -1.586 -1.910
-7.323 0.596 5.917
Mg Sb Ta
2 1 1
Direct
0.000 0.000 0.275
0.000 0.000 0.725
0.500 0.500 0.000
0.500 0.500 0.500
```

**SG**: P4/mmm, No. 123
**Uncorrected formation energy**: 0.149 eV per atom


No. 10
Entry from the Alexandria database: a PBEsol-optimized structure of BaNi (SCAN).

Geometry as POSCAR:
```
BaNi
1.0
-2.869 0.599 -4.025
2.071 -1.581 -4.243
-1.943 -4.226 -1.776
Ba Ni
2 2
Direct
0.642 0.642 0.642
0.358 0.358 0.358
0.099 0.099 0.099
0.901 0.901 0.901
```

**E**: -109.2 eV for the cell shown
**SG**: R-3m, No. 166


No. 11
Entry from the Alexandria database: a PBEsol-optimized structure of LiRuCl4 (SCAN).

Geometry as POSCAR:
```
LiRuCl4
1.0
5.710 0.000 0.000
2.855 4.945 0.000
2.855 1.648 4.662
Li Ru Cl
1 1 4
Direct
0.750 0.750 0.750
0.000 0.000 0.000
0.876 0.375 0.375
0.375 0.876 0.375
0.375 0.375 0.876
0.375 0.375 0.375
```

**SG**: F-43m, No. 216
**Uncorrected formation energy**: 0.633 eV per atom


No. 12
Entry from the Alexandria database: a PBEsol-optimized structure of Zn2AsPb (SCAN).

Geometry as POSCAR:
```
Zn2AsPb
1.0
3.985 0.000 0.000
0.000 3.982 0.000
0.000 0.000 5.069
Zn As Pb
2 1 1
Direct
0.000 0.000 0.000
0.500 0.000 0.500
0.500 0.500 0.000
0.000 0.500 0.500
```

**E**: -121.9 eV for the cell shown
**SG**: Pmmm, No. 47


What DOS(E_F) values result from the calculations? In sequence: 0.42 0.37 0.37 0.81 1.26 0.00 0.33 0.70 0.41 0.60 1.47 0.31 states/eV/atom.